(1)
A plane-wave DFT calculation with PBE-GGA was carried out for a relaxed Ca4Hg2H crystal.

Lattice parameters (Å, degrees): 6.605 6.945 8.894 90.00 108.38 90.00
Fractional coordinates of all 14 atoms:
Ca  0.022  0.005  0.281
Ca  0.022  0.495  0.281
Ca  0.370  0.750  0.058
Ca  0.433  0.750  0.643
Ca  0.567  0.250  0.357
Ca  0.630  0.250  0.942
Ca  0.978  0.505  0.719
Ca  0.978  0.995  0.719
Hg  0.184  0.250  0.028
Hg  0.298  0.250  0.593
Hg  0.702  0.750  0.407
Hg  0.816  0.750  0.972
H  0.211  0.750  0.791
H  0.789  0.250  0.209

ΔE to the lowest computed polymorph   0.0 meV/atom
SG   No. 11
Density   4825 kg/m³
Total magnetic moment   0.0000 μB per atom



(2)
A plane-wave DFT calculation with PBE-GGA was carried out for a relaxed LiBi4Te7 crystal.

Lattice parameters (Å, degrees): 4.398 4.398 24.075 90.00 90.00 120.00
Fractional coordinates of all 12 atoms:
Li  0.000  0.000  0.000
Bi  0.333  0.667  0.148
Bi  0.333  0.667  0.413
Bi  0.667  0.333  0.587
Bi  0.667  0.333  0.852
Te  0.000  0.000  0.222
Te  0.000  0.000  0.500
Te  0.000  0.000  0.778
Te  0.333  0.667  0.660
Te  0.333  0.667  0.934
Te  0.667  0.333  0.066
Te  0.667  0.333  0.340

SG   No. 164
Density   7149 kg/m³
Total magnetic moment   0.0000 μB per atom
ΔE_f (raw)   -0.2841 eV per atom



(3)
A plane-wave DFT calculation with PBE-GGA was carried out for a relaxed Nb6MoRh2 crystal.

Lattice parameters (Å, degrees): 7.383 7.383 7.383 143.97 129.99 63.17
Fractional coordinates of all 9 atoms:
Nb  0.094  0.336  0.758
Nb  0.241  0.000  0.241
Nb  0.422  0.664  0.758
Nb  0.578  0.336  0.242
Nb  0.759  0.000  0.759
Nb  0.906  0.664  0.242
Mo  0.000  0.500  0.500
Rh  0.330  0.830  0.500
Rh  0.670  0.170  0.500

Energy of formation   333 meV per atom
SG   No. 71
Density   7959 kg/m³
Total magnetic moment   0.0000 μB per atom



(4)
A plane-wave DFT calculation with PBE-GGA was carried out for a relaxed BaRuW2 crystal.

Lattice parameters (Å, degrees): 3.391 3.391 7.871 90.00 90.00 90.00
Fractional coordinates of all 4 atoms:
Ba  0.000  0.000  0.000
Ru  0.000  0.000  0.500
W  0.500  0.500  0.349
W  0.500  0.500  0.651

ΔE to the lowest computed polymorph   169.4 meV/atom
Energy of formation   885 meV per atom
SG   No. 123
Density   11123 kg/m³
Total magnetic moment   0.0000 μB per atom



(5)
A plane-wave DFT calculation with PBE-GGA was carried out for a relaxed ZrScFe2 crystal.

Lattice parameters (Å, degrees): 5.662 5.662 5.662 104.40 104.40 120.17
Fractional coordinates of all 8 atoms:
Zr  0.000  0.000  0.000
Zr  0.750  0.250  0.500
Sc  0.250  0.750  0.500
Sc  0.500  0.500  0.000
Fe  0.124  0.625  0.999
Fe  0.375  0.374  0.499
Fe  0.626  0.125  0.001
Fe  0.875  0.876  0.501

Energy of formation   362 meV per atom
SG   No. 122
Density   6051 kg/m³
Total magnetic moment   0.5265 μB per atom



(6)
A plane-wave DFT calculation with PBE-GGA was carried out for a relaxed NdPaCuPt crystal.

Lattice parameters (Å, degrees): 5.004 5.004 5.004 60.00 60.00 60.00
Fractional coordinates of all 4 atoms:
Nd  0.000  0.000  0.000
Pa  0.500  0.500  0.500
Cu  0.250  0.250  0.250
Pt  0.750  0.750  0.750

Energy of formation   -361 meV per atom
SG   No. 216
Density   11884 kg/m³
Total magnetic moment   0.1276 μB per atom



(7)
A plane-wave DFT calculation with PBE-GGA was carried out for a relaxed SrSeBr2 crystal.

Lattice parameters (Å, degrees): 8.000 8.000 8.000 150.03 148.80 43.81
Fractional coordinates of all 4 atoms:
Sr  0.000  0.000  0.000
Se  0.841  0.341  0.500
Br  0.342  0.842  0.500
Br  0.579  0.579  0.000

ΔE to the lowest computed polymorph   136.6 meV/atom
SG   No. 44
Density   4101 kg/m³
Total magnetic moment   0.0000 μB per atom
ΔE_f (raw)   -1.1810 eV per atom



(8)
A plane-wave DFT calculation with PBE-GGA was carried out for a relaxed RbMo2W crystal.

Lattice parameters (Å, degrees): 4.715 4.715 4.715 60.00 60.00 60.00
Fractional coordinates of all 4 atoms:
Rb  0.000  0.000  0.000
Mo  0.250  0.250  0.250
Mo  0.750  0.750  0.750
W  0.500  0.500  0.500

ΔE to the lowest computed polymorph   0.0 meV/atom
Energy of formation   1809 meV per atom
SG   No. 225
Density   10331 kg/m³
Total magnetic moment   0.0000 μB per atom



(9)
A plane-wave DFT calculation with PBE-GGA was carried out for a relaxed BaS2I crystal.

Lattice parameters (Å, degrees): 5.732 5.732 5.732 54.53 54.53 54.53
Fractional coordinates of all 4 atoms:
Ba  0.000  0.000  0.000
S  0.214  0.214  0.214
S  0.786  0.786  0.786
I  0.500  0.500  0.500

ΔE to the lowest computed polymorph   257.1 meV/atom
SG   No. 166
Density   4693 kg/m³
Total magnetic moment   0.0000 μB per atom
ΔE_f (raw)   -0.5213 eV per atom



(10)
A plane-wave DFT calculation with PBE-GGA was carried out for a relaxed Th3Ga3Si crystal.

Lattice parameters (Å, degrees): 5.993 5.993 14.926 107.80 107.80 41.75
Fractional coordinates of all 14 atoms:
Th  0.049  0.049  0.281
Th  0.176  0.176  0.577
Th  0.312  0.312  0.899
Th  0.688  0.688  0.101
Th  0.824  0.824  0.423
Th  0.951  0.951  0.719
Ga  0.046  0.046  0.937
Ga  0.322  0.322  0.268
Ga  0.457  0.457  0.572
Ga  0.543  0.543  0.428
Ga  0.678  0.678  0.732
Ga  0.954  0.954  0.063
Si  0.413  0.413  0.133
Si  0.587  0.587  0.867

SG   No. 12
Density   9189 kg/m³
Total magnetic moment   0.0000 μB per atom
ΔE_f (raw)   -0.5610 eV per atom



(11)
A plane-wave DFT calculation with PBE-GGA was carried out for a relaxed Pr2Hg7Bi3 crystal.

Lattice parameters (Å, degrees): 4.759 4.631 16.305 90.00 98.30 90.00
Fractional coordinates of all 12 atoms:
Pr  0.149  0.000  0.297
Pr  0.851  0.000  0.703
Hg  0.076  0.500  0.151
Hg  0.272  0.000  0.545
Hg  0.423  0.000  0.847
Hg  0.500  0.500  0.000
Hg  0.577  0.000  0.153
Hg  0.728  0.000  0.455
Hg  0.924  0.500  0.849
Bi  0.000  0.000  0.000
Bi  0.336  0.500  0.672
Bi  0.664  0.500  0.328

Energy of formation   -248 meV per atom
SG   No. 10
Density   10800 kg/m³
Total magnetic moment   0.0000 μB per atom



(12)
A plane-wave DFT calculation with PBE-GGA was carried out for a relaxed LiTe2Au crystal.

Lattice parameters (Å, degrees): 3.181 5.657 5.597 90.00 90.08 90.00
Fractional coordinates of all 4 atoms:
Li  0.000  0.000  0.000
Te  0.503  0.000  0.502
Te  0.505  0.500  0.003
Au  0.503  0.500  0.503

SG   No. 6
Density   7571 kg/m³
Total magnetic moment   0.0000 μB per atom
ΔE_f (raw)   -0.2937 eV per atom



(13)
A plane-wave DFT calculation with PBE-GGA was carried out for a relaxed Ta2MnBe crystal.

Lattice parameters (Å, degrees): 7.608 7.608 7.608 22.90 22.90 22.90
Fractional coordinates of all 4 atoms:
Ta  0.247  0.247  0.247
Ta  0.753  0.753  0.753
Mn  0.000  0.000  0.000
Be  0.500  0.500  0.500

Energy of formation   295 meV per atom
SG   No. 166
Density   12086 kg/m³
Total magnetic moment   0.1520 μB per atom



(14)
A plane-wave DFT calculation with PBE-GGA was carried out for a relaxed Rb2HfSn crystal.

Lattice parameters (Å, degrees): 10.305 10.305 10.305 94.19 94.19 148.65
Fractional coordinates of all 8 atoms:
Rb  0.375  0.191  0.316
Rb  0.809  0.125  0.184
Rb  0.875  0.059  0.684
Rb  0.941  0.625  0.816
Hf  0.250  0.750  0.500
Hf  0.500  0.500  0.000
Sn  0.000  0.000  0.000
Sn  0.750  0.250  0.500

ΔE to the lowest computed polymorph   0.0 meV/atom
Energy of formation   685 meV per atom
SG   No. 122
Density   2837 kg/m³
Total magnetic moment   0.0000 μB per atom



(15)
A plane-wave DFT calculation with PBE-GGA was carried out for a relaxed MnIr3Pt crystal.

Lattice parameters (Å, degrees): 4.751 4.751 4.751 90.00 90.00 90.00
Fractional coordinates of all 5 atoms:
Mn  0.000  0.000  0.000
Ir  0.000  0.500  0.500
Ir  0.500  0.000  0.500
Ir  0.500  0.500  0.000
Pt  0.500  0.500  0.500

ΔE to the lowest computed polymorph   1114.9 meV/atom
Energy of formation   2504 meV per atom
SG   No. 221
Density   12801 kg/m³
Total magnetic moment   0.0667 μB per atom



(16)
A plane-wave DFT calculation with PBE-GGA was carried out for a relaxed K3In2Pb3 crystal.

Lattice parameters (Å, degrees): 6.369 6.369 17.618 90.00 90.00 127.03
Fractional coordinates of all 16 atoms:
K  0.009  0.991  0.750
K  0.155  0.845  0.537
K  0.155  0.845  0.963
K  0.845  0.155  0.037
K  0.845  0.155  0.463
K  0.991  0.009  0.250
In  0.276  0.724  0.163
In  0.276  0.724  0.337
In  0.724  0.276  0.663
In  0.724  0.276  0.837
Pb  0.311  0.689  0.750
Pb  0.466  0.534  0.597
Pb  0.466  0.534  0.903
Pb  0.534  0.466  0.097
Pb  0.534  0.466  0.403
Pb  0.689  0.311  0.250

Energy of formation   -79 meV per atom
SG   No. 63
Density   5639 kg/m³
Total magnetic moment   0.0000 μB per atom